Entry from the Alexandria database: a geometry-optimized Ni2Br structure (PBE-GGA).

abc: 8.7548 8.7548 3.5861
angles: 90.00 90.00 156.22
Site moments in Bohr magnetons follow the coordinates.
Sites, in units of the cell vectors:
Ni 0.9521 0.0479 0.2500  0.75
Ni 0.0479 0.9521 0.7500  0.75
Ni 0.4468 0.5532 0.7500  0.85
Ni 0.5532 0.4468 0.2500  0.85
Br 0.1521 0.8479 0.2500  0.12
Br 0.8479 0.1521 0.7500  0.12

Calculated values
The calculation puts the energy relative to the elements, uncorrected at 6.4 kJ/mol of formula units. Its volume is 18.5 Å³ per atom. The calculation puts the size of the total moment at 1.69 μB per formula unit. The energy above the most stable polymorph in this dataset is 0 meV/atom.